Entry 1:
Compound: MnBeSe2
Source: Alexandria via LeMat-Bulk
Functional: PBE-GGA
Structure: relaxed

Values from the calculation:
E_form (uncorrected) ... -0.483 eV/atom
Magnetization ... 1.25 μB/atom

Cell lengths 6.6918, 3.8813, 7.0413 Å; angles 90.00, 90.68, 90.00 degrees
With the nearest neighbours (Å) after each atom.
Space group P2_1 (No. 4)
Inequivalent atoms, fractional coordinates:
Mn1 0.1538 0.0000 0.0946 x2  4 Se 2.51-2.68
Be1 0.1166 0.4975 0.5874 x2  4 Se 2.25-2.31
Se1 0.2248 0.9984 0.4454 x2  3 Be 2.29-2.31, 1 Mn 2.51
Se2 0.2456 0.4997 0.8837 x2  1 Be 2.25

=====

Entry 2:
Compound: HoSn2Pb
Source: Alexandria via LeMat-Bulk
Functional: PBE-GGA
Structure: relaxed

Values from the calculation:
Magnetization ... 0.00 μB/atom
ΔE_f ... -0.171 eV per atom
Excess energy over the best structure of this formula in the dataset ... 178 meV per atom

Cell lengths 5.4597, 5.4597, 13.3389 Å; angles 90.00, 90.00, 120.00 degrees
With the nearest neighbours (Å) after each atom.
Space group R-3m (No. 166, hexagonal axes)
Inequivalent atoms, fractional coordinates:
Ho1 0.0000 0.0000 0.0000 x3  8 Sn 3.33-3.34
Sn1 0.0000 0.0000 0.2499 x6  4 Ho 3.33-3.34, 4 Pb 3.34
Pb1 0.0000 0.0000 0.5000 x3  8 Sn 3.34

=====

Entry 3:
Compound: LiLuFe4
Source: Alexandria via LeMat-Bulk
Functional: PBE-GGA
Structure: relaxed

Values from the calculation:
Magnetization ... 1.13 μB/atom
ΔE_f ... 0.039 eV per atom

Cell lengths 6.9409, 6.9409, 6.9409 Å; angles 90.00, 90.00, 90.00 degrees
With the nearest neighbours (Å) after each atom.
Space group F-43m (No. 216)
Inequivalent atoms, fractional coordinates:
Li1 0.0000 0.0000 0.0000 x4  12 Fe 2.88, 4 Lu 3.01
Lu1 0.2500 0.2500 0.7500 x4  12 Fe 2.88, 4 Li 3.01
Fe1 0.1256 0.1256 0.3744 x16  6 Fe 2.44-2.46

=====

Entry 4:
Compound: K2Hg2Pb
Source: Alexandria via LeMat-Bulk
Functional: PBE-GGA
Structure: relaxed

Values from the calculation:
Magnetization ... 0.00 μB/atom
ΔE_f ... 0.044 eV per atom
Excess energy over the best structure of this formula in the dataset ... 281 meV per atom

Cell lengths 5.1441, 5.1441, 14.1066 Å; angles 90.00, 90.00, 90.00 degrees
With the nearest neighbours (Å) after each atom.
Space group I4/mmm (No. 139)
Inequivalent atoms, fractional coordinates:
K1 0.0000 0.5000 0.2500 x4  4 Hg 3.33, 4 K 3.64
Hg1 0.0000 0.0000 0.0995 x4  1 Hg 2.81
Pb1 0.0000 0.0000 0.5000 x2  8 Hg 3.90, 8 K 4.36

=====

Entry 5:
Compound: CsLiCo2
Source: Alexandria via LeMat-Bulk
Functional: PBE-GGA
Structure: relaxed

Values from the calculation:
Magnetization ... 0.47 μB/atom
ΔE_f ... 1.457 eV per atom
Excess energy over the best structure of this formula in the dataset ... 451 meV per atom

Cell lengths 6.5617, 6.5617, 6.5617 Å; angles 90.00, 90.00, 90.00 degrees
With the nearest neighbours (Å) after each atom.
Space group Fm-3m (No. 225)
Inequivalent atoms, fractional coordinates:
Cs1 0.0000 0.0000 0.0000 x4  8 Co 2.84
Li1 0.0000 0.0000 0.5000 x4  8 Co 2.84
Co1 0.2500 0.2500 0.2500 x8  4 Li 2.84, 4 Cs 2.84

=====

Entry 6:
Compound: Li2CuTc
Source: Alexandria via LeMat-Bulk
Functional: PBE-GGA
Structure: relaxed

Values from the calculation:
Magnetization ... 0.00 μB/atom
ΔE_f ... 0.149 eV per atom
Excess energy over the best structure of this formula in the dataset ... 31 meV per atom

Cell lengths 3.4018, 3.7571, 8.9685 Å; angles 90.00, 90.00, 90.00 degrees
With the nearest neighbours (Å) after each atom.
Space group Cmm2 (No. 35)
Inequivalent atoms, fractional coordinates:
Li1 0.0000 0.0000 0.0000 x2  4 Li 2.53, 2 Tc 2.78
Li2 0.0000 0.5000 0.2941 x2  4 Li 2.53, 4 Cu 2.65-2.77
Cu1 0.0000 0.0000 0.5210 x2  4 Cu 2.53, 4 Li 2.65-2.77, 4 Tc 2.70-2.81
Tc1 0.0000 0.5000 0.7545 x2  4 Tc 2.53, 4 Cu 2.70-2.81, 2 Li 2.78

=====

Entry 7:
Compound: CrInHg
Source: Alexandria via LeMat-Bulk
Functional: PBE-GGA
Structure: relaxed

Values from the calculation:
Magnetization ... 1.26 μB/atom
ΔE_f ... 0.337 eV per atom
Excess energy over the best structure of this formula in the dataset ... 34 meV per atom

Cell lengths 3.1818, 3.1455, 12.7418 Å; angles 90.00, 90.00, 90.00 degrees
With the nearest neighbours (Å) after each atom.
Space group Amm2 (No. 38)
Inequivalent atoms, fractional coordinates:
Cr1 0.0000 0.0000 0.0000 x2  4 In 2.92, 4 Hg 2.93, 4 Cr 3.15-3.18
In1 0.5000 0.0000 0.3521 x2  4 Cr 2.92, 2 Hg 3.04, 4 In 3.15-3.18
Hg1 0.5000 0.0000 0.6480 x2  4 Cr 2.93, 2 In 3.04, 4 Hg 3.15-3.18

=====

Entry 8:
Compound: Tb5Pr3Tl2
Source: Alexandria via LeMat-Bulk
Functional: PBE-GGA
Structure: relaxed

Values from the calculation:
Magnetization ... 0.00 μB/atom
ΔE_f ... 0.069 eV per atom

Cell lengths 13.1000, 15.5066, 6.5598 Å; angles 90.00, 90.00, 90.00 degrees
With the nearest neighbours (Å) after each atom.
Space group Ibam (No. 72)
Inequivalent atoms, fractional coordinates:
Tb1 0.0000 0.0000 0.2500 x4  8 Tb 3.22-3.39
Tb2 0.1180 0.1634 0.0000 x8  1 Tl 2.97
Tb3 0.2454 0.0000 0.2500 x8  2 Tl 3.19, 5 Tb 3.22-3.45, 1 Pr 3.33
Pr1 0.0000 0.5000 0.2500 x4  2 Pr 3.28, 4 Tl 3.32, 2 Tb 3.33
Pr2 0.1204 0.2596 0.5000 x8  4 Tb 3.46-3.63, 4 Tl 3.60-3.68
Tl1 0.1368 0.3543 0.0000 x8  3 Tb 2.97-3.19, 2 Pr 3.32

=====

Number 1: final energy -5.45 eV per atom, density 4.0 g/cm³. Number 2: final energy -4.24 eV per atom, density 8.8 g/cm³. Number 3: final energy -6.68 eV per atom, density 8.1 g/cm³. Number 4: final energy -1.26 eV per atom, density 6.1 g/cm³. Number 5: final energy -2.79 eV per atom, density 6.1 g/cm³. Number 6: final energy -4.42 eV per atom, density 5.1 g/cm³. Number 7: final energy -3.88 eV per atom, density 9.6 g/cm³. Number 8: final energy -4.15 eV per atom, density 8.1 g/cm³.